Record 1
BeP3Pt: optimized geometry, PBE.

Cell lengths 4.173, 4.173, 4.173 Å; angles 90.00, 90.00, 90.00 degrees
Positions (direct):
Be  0.000  0.000  0.000
P  0.000  0.000  0.500
P  0.000  0.500  0.000
P  0.500  0.000  0.000
Pt  0.500  0.500  0.500

**Density of states at the Fermi level**: 2.68 states/eV per cell
**E above lowest polymorph**: 0.00 eV per formula unit
**Space group**: No. 221
**Energy of formation from the pure elements**: 0.65 eV/atom

***

Record 2
AgHPd3: optimized geometry, PBE.

Cell lengths 7.501, 7.501, 7.501 Å; angles 38.07, 38.07, 38.07 degrees
Positions (direct):
Ag  0.167  0.167  0.167
Ag  0.833  0.833  0.833
H  0.315  0.315  0.315
H  0.685  0.685  0.685
Pd  0.064  0.722  0.386
Pd  0.278  0.614  0.936
Pd  0.386  0.064  0.722
Pd  0.614  0.936  0.278
Pd  0.722  0.386  0.064
Pd  0.936  0.278  0.614

**Density of states at the Fermi level**: 4.01 states/eV per cell
**E above lowest polymorph**: 0.59 eV per formula unit
**Space group**: No. 148

***

Record 3
Ac2Bi4Pd3Rh: optimized geometry, PBE.

Cell lengths 4.890, 4.890, 10.837 Å; angles 90.00, 90.00, 90.00 degrees
Positions (direct):
Ac  0.000  0.500  0.230
Ac  0.500  0.000  0.770
Bi  0.000  0.000  0.500
Bi  0.000  0.500  0.878
Bi  0.500  0.000  0.122
Bi  0.500  0.500  0.500
Pd  0.000  0.000  0.000
Pd  0.000  0.500  0.629
Pd  0.500  0.000  0.371
Rh  0.500  0.500  0.000

**Density of states at the Fermi level**: 4.55 states/eV per cell
**Space group**: No. 115
**Energy of formation from the pure elements**: -0.63 eV/atom

***

Among the records above, which one has the lowest density of states at the Fermi level?
BeP3Pt

***

Which of these has the highest density of states at the Fermi level?
Ac2Bi4Pd3Rh

***

Which of these has the highest density of states at the Fermi level?
Ac2Bi4Pd3Rh

***

What did the second record say?
AgHPd3: optimized geometry, PBE.

Cell lengths 7.501, 7.501, 7.501 Å; angles 38.07, 38.07, 38.07 degrees
Positions (direct):
Ag  0.167  0.167  0.167
Ag  0.833  0.833  0.833
H  0.315  0.315  0.315
H  0.685  0.685  0.685
Pd  0.064  0.722  0.386
Pd  0.278  0.614  0.936
Pd  0.386  0.064  0.722
Pd  0.614  0.936  0.278
Pd  0.722  0.386  0.064
Pd  0.936  0.278  0.614

**Density of states at the Fermi level**: 4.01 states/eV per cell
**E above lowest polymorph**: 0.59 eV per formula unit
**Space group**: No. 148